No. 1
A relaxed structure of MoRuRh. Source: Alexandria, functional PBE.

Computed properties:
V   14.64 A^3/atom
Electronic total energy   -9.1707 eV/atom
Relative energy among the computed polymorphs   27 kJ/mol of formula units
Magnetic moment   0.000 μB per formula unit
Theoretical density   11.3 g/cm³
D(E_F)   8.59 states/eV per cell

Cell and atoms, written as POSCAR:
```
MoRuRh
1.0
2.751 0.000 0.000
0.000 2.751 0.000
0.000 0.000 11.608
Mo Ru Rh
2 2 2
Direct
0.000 0.000 0.000
0.500 0.500 0.500
0.000 0.000 0.663
0.500 0.500 0.163
0.000 0.000 0.331
0.500 0.500 0.831
```

---

No. 2
A relaxed structure of NiOs. Source: Alexandria, functional PBE.

Computed properties:
V   18.07 A^3/atom
Electronic total energy   -6.8420 eV/atom
Magnetic moment   0.000 μB per formula unit
Theoretical density   11.4 g/cm³
D(E_F)   9.96 states/eV per cell

Cell and atoms, written as POSCAR:
```
NiOs
1.0
5.249 0.000 0.000
0.000 5.249 0.000
0.000 0.000 5.249
Ni Os
4 4
Direct
0.000 0.000 0.000
0.000 0.500 0.500
0.500 0.000 0.500
0.500 0.500 0.000
0.250 0.250 0.750
0.250 0.750 0.250
0.750 0.250 0.250
0.750 0.750 0.750
```

---

No. 3
A relaxed structure of LiSeIN2. Source: Alexandria, functional PBE.

Computed properties:
V   23.52 A^3/atom
Electronic total energy   -3.7333 eV/atom
Relative energy among the computed polymorphs   0 kJ/mol of formula units
Magnetic moment   0.851 μB per formula unit
Theoretical density   3.4 g/cm³
D(E_F)   1.78 states/eV per cell

Cell and atoms, written as POSCAR:
```
LiSeIN2
1.0
3.817 0.000 0.000
0.000 3.817 0.000
0.000 0.000 8.069
Li Se I N
1 1 1 2
Direct
0.000 0.000 0.000
0.500 0.500 0.500
0.500 0.500 0.000
0.000 0.500 0.500
0.500 0.000 0.500
```

---

Which value of electronic total energy does entry 3 give?
-3.7333 eV/atom